No. 1
The following is a DFT calculation (meta-GGA SCAN) of Y2MnBr at its PBEsol-relaxed geometry.

```
Y2MnBr
1.0
-2.034 2.034 5.586
2.034 -2.034 5.586
2.034 2.034 -5.586
Y Mn Br
2 1 1
Direct
0.000 0.000 0.000
0.750 0.250 0.500
0.250 0.750 0.500
0.500 0.500 0.000
```

Values from the calculation:
- Size of the total moment: 3.0 μB per formula unit
- Offset from the most stable computed form: 29.1 kJ/mol of atoms


No. 2
The following is a DFT calculation (meta-GGA SCAN) of RbLiPt2F at its PBEsol-relaxed geometry.

```
RbLiPt2F
1.0
4.116 0.000 0.000
0.000 4.116 0.000
0.000 0.000 6.919
Rb Li Pt F
1 1 2 1
Direct
0.000 0.000 0.000
0.000 0.000 0.500
0.000 0.500 0.500
0.500 0.000 0.500
0.500 0.500 0.000
```

Values from the calculation:
- Size of the total moment: 0.9 μB per formula unit
- Raw total energy: -167.3 eV per cell


No. 3
The following is a DFT calculation (meta-GGA SCAN) of KLa4Pb at its PBEsol-relaxed geometry.

```
KLa4Pb
1.0
0.000 4.705 4.705
4.705 0.000 4.705
4.705 4.705 0.000
K La Pb
1 4 1
Direct
0.000 0.000 0.000
0.380 0.380 0.380
0.380 0.380 0.859
0.380 0.859 0.380
0.859 0.380 0.380
0.750 0.750 0.750
```

Values from the calculation:
- Formation energy: 0.14 eV/atom
- Size of the total moment: 0.0 μB per formula unit


No. 4
The following is a DFT calculation (meta-GGA SCAN) of Sr2Fe at its PBEsol-relaxed geometry.

```
Sr2Fe
1.0
7.354 0.000 0.000
0.000 7.484 0.000
0.000 0.000 3.842
Sr Fe
4 2
Direct
0.234 0.176 0.000
0.266 0.676 0.500
0.734 0.324 0.500
0.766 0.824 0.000
0.000 0.500 0.000
0.500 0.000 0.500
```

Values from the calculation:
- Formation energy: 0.55 eV/atom
- Size of the total moment: 2.3 μB per formula unit


Calculated density of states at the Fermi level, 4.06 3.71 7.36 2.86 states/eV/cell (same order as the records).
Calculated theoretical density, 5.618 7.106 6.391 3.629 g/cm³ (same order as the records).